Entry 1:
Below is a relaxed structure of Dy2SN, with properties calculated at the PBE level.

a = 6.6087 Å, b = 6.6087 Å, c = 6.6087 Å
α = 31.79°, β = 31.79°, γ = 31.79°
Sites, in units of the cell vectors:
Dy 0.2363 0.2363 0.2363
Dy 0.7637 0.7637 0.7637
S 0.0000 0.0000 0.0000
N 0.5000 0.5000 0.5000

Output
Offset from the most stable computed form in meV/atom: 0
Total magnetization in μB/f.u.: 0.0
Symmetry: R-3m (166)
E_form (uncorrected) in eV/atom: -1.862

***

Entry 2:
Below is a relaxed structure of Dy4S3N, with properties calculated at the PBE level.

a = 6.6379 Å, b = 6.6379 Å, c = 3.7520 Å
α = 90.00°, β = 90.00°, γ = 108.73°
Sites, in units of the cell vectors:
Dy 0.2167 0.2167 0.5000
Dy 0.2288 0.7712 0.0000
Dy 0.7712 0.2288 0.0000
Dy 0.7833 0.7833 0.5000
S 0.0000 0.5000 0.5000
S 0.5000 0.0000 0.5000
S 0.5000 0.5000 0.0000
N 0.0000 0.0000 0.0000

Output
Offset from the most stable computed form in meV/atom: 0
Total magnetization in μB/f.u.: 0.0
Symmetry: Cmmm (65)
E_form (uncorrected) in eV/atom: -1.894

***

Entry 3:
Below is a relaxed structure of Dy8S6N, with properties calculated at the PBE level.

a = 9.7451 Å, b = 9.7451 Å, c = 4.0114 Å
α = 90.00°, β = 90.00°, γ = 120.00°
Sites, in units of the cell vectors:
Dy 0.0268 0.3044 0.2652
Dy 0.2776 0.9732 0.2652
Dy 0.3044 0.2776 0.7348
Dy 0.3333 0.6667 0.7444
Dy 0.6667 0.3333 0.2556
Dy 0.6956 0.7224 0.2652
Dy 0.7224 0.0268 0.7348
Dy 0.9732 0.6956 0.7348
S 0.1292 0.6522 0.2426
S 0.3478 0.4770 0.2426
S 0.4770 0.1292 0.7574
S 0.5230 0.8708 0.2426
S 0.6522 0.5230 0.7574
S 0.8708 0.3478 0.7574
N 0.0000 0.0000 0.5000

Output
Total magnetization in μB/f.u.: 0.0
Symmetry: P-3 (147)
E_form (uncorrected) in eV/atom: -1.245

***

Entry 4:
Below is a relaxed structure of Dy4S3N, with properties calculated at the PBE level.

a = 5.3902 Å, b = 5.3902 Å, c = 5.3902 Å
α = 90.00°, β = 90.00°, γ = 90.00°
Sites, in units of the cell vectors:
Dy 0.0000 0.0000 0.0000
Dy 0.0000 0.5000 0.5000
Dy 0.5000 0.0000 0.5000
Dy 0.5000 0.5000 0.0000
S 0.0000 0.0000 0.5000
S 0.0000 0.5000 0.0000
S 0.5000 0.0000 0.0000
N 0.5000 0.5000 0.5000

Output
Offset from the most stable computed form in meV/atom: 125
Total magnetization in μB/f.u.: 0.0
Symmetry: Pm-3m (221)
E_form (uncorrected) in eV/atom: -1.770

***

Entry 5:
Below is a relaxed structure of Dy2SN, with properties calculated at the PBE level.

a = 6.7556 Å, b = 6.7556 Å, c = 6.7556 Å
α = 30.84°, β = 30.84°, γ = 30.84°
Sites, in units of the cell vectors:
Dy 0.0000 0.0000 0.0000
Dy 0.1962 0.1962 0.1962
S 0.7648 0.7648 0.7648
N 0.5942 0.5942 0.5942

Output
Offset from the most stable computed form in meV/atom: 59
Total magnetization in μB/f.u.: 0.0
Symmetry: R3m (160)
E_form (uncorrected) in eV/atom: -1.804

***

Entry 6:
Below is a relaxed structure of Dy6S5N, with properties calculated at the PBE level.

a = 6.6496 Å, b = 6.6496 Å, c = 6.6782 Å
α = 99.53°, β = 99.53°, γ = 120.15°
Sites, in units of the cell vectors:
Dy 0.0756 0.3816 0.2261
Dy 0.2317 0.2317 0.7700
Dy 0.3816 0.0756 0.2261
Dy 0.6184 0.9244 0.7739
Dy 0.7683 0.7683 0.2300
Dy 0.9244 0.6184 0.7739
S 0.1722 0.8278 0.5000
S 0.3333 0.6667 0.0000
S 0.5000 0.5000 0.5000
S 0.6667 0.3333 0.0000
S 0.8278 0.1722 0.5000
N 0.0000 0.0000 0.0000

Output
Total magnetization in μB/f.u.: 0.0
Symmetry: C2/m (12)
E_form (uncorrected) in eV/atom: -1.927

***

Entry 7:
Below is a relaxed structure of Dy4S3N2, with properties calculated at the PBE level.

a = 6.7458 Å, b = 6.7458 Å, c = 9.8865 Å
α = 126.47°, β = 126.47°, γ = 32.98°
Sites, in units of the cell vectors:
Dy 0.0632 0.0632 0.3544
Dy 0.2594 0.2594 0.1482
Dy 0.7406 0.7406 0.8518
Dy 0.9368 0.9368 0.6456
S 0.3275 0.3275 0.7170
S 0.5000 0.5000 0.5000
S 0.6725 0.6725 0.2830
N 0.1441 0.1441 0.8615
N 0.8559 0.8559 0.1385

Output
Total magnetization in μB/f.u.: 0.0
Symmetry: C2/m (12)
E_form (uncorrected) in eV/atom: -1.955

***

Entry 8:
Below is a relaxed structure of Dy2SN, with properties calculated at the PBE level.

a = 3.8578 Å, b = 8.2132 Å, c = 5.7627 Å
α = 90.00°, β = 90.00°, γ = 90.00°
Sites, in units of the cell vectors:
Dy 0.0000 0.0891 0.0000
Dy 0.0000 0.6470 0.8819
Dy 0.5000 0.3530 0.3819
Dy 0.5000 0.9109 0.5000
S 0.0000 0.3421 0.7049
S 0.5000 0.6579 0.2049
N 0.0000 0.8918 0.7154
N 0.5000 0.1082 0.2154

Output
Offset from the most stable computed form in meV/atom: 331
Total magnetization in μB/f.u.: 0.7
Symmetry: Pmn2_1 (31)
E_form (uncorrected) in eV/atom: -1.531

***

Entry 9:
Below is a relaxed structure of Dy7S5N, with properties calculated at the PBE level.

a = 6.7170 Å, b = 6.7170 Å, c = 23.8423 Å
α = 90.00°, β = 90.00°, γ = 147.83°
Sites, in units of the cell vectors:
Dy 0.0459 0.9541 0.5000
Dy 0.1112 0.8888 0.7820
Dy 0.1641 0.8359 0.2069
Dy 0.2660 0.7340 0.5600
Dy 0.3327 0.6673 0.4144
Dy 0.3928 0.6072 0.8492
Dy 0.4396 0.5604 0.1302
Dy 0.5604 0.4396 0.6302
Dy 0.6072 0.3928 0.3492
Dy 0.6673 0.3327 0.9144
Dy 0.7340 0.2660 0.0600
Dy 0.8359 0.1641 0.7069
Dy 0.8888 0.1112 0.2820
Dy 0.9541 0.0459 0.0000
S 0.0261 0.9739 0.8886
S 0.0839 0.9161 0.0976
S 0.1965 0.8035 0.6712
S 0.2465 0.7535 0.3114
S 0.4750 0.5250 0.7429
S 0.5250 0.4750 0.2429
S 0.7535 0.2465 0.8114
S 0.8035 0.1965 0.1712
S 0.9161 0.0839 0.5976
S 0.9739 0.0261 0.3886
N 0.3624 0.6376 0.0460
N 0.6376 0.3624 0.5460

Output
Total magnetization in μB/f.u.: 0.0
Symmetry: Cmc2_1 (36)
E_form (uncorrected) in eV/atom: -1.673

***

Entry 10:
Below is a relaxed structure of Dy5S4N, with properties calculated at the PBE level.

a = 13.9027 Å, b = 13.9027 Å, c = 13.9027 Å
α = 164.18°, β = 164.18°, γ = 22.45°
Sites, in units of the cell vectors:
Dy 0.0000 0.0000 0.0000
Dy 0.2029 0.2029 0.0000
Dy 0.4149 0.4149 0.0000
Dy 0.5851 0.5851 0.0000
Dy 0.7971 0.7971 0.0000
S 0.0996 0.0996 0.0000
S 0.3050 0.3050 0.0000
S 0.6950 0.6950 0.0000
S 0.9004 0.9004 0.0000
N 0.5000 0.5000 0.0000

Output
Total magnetization in μB/f.u.: 0.0
Symmetry: I4/mmm (139)
E_form (uncorrected) in eV/atom: -1.885

***

Entry 11:
Below is a relaxed structure of Dy3SbSN, with properties calculated at the PBE level.

a = 8.4002 Å, b = 4.0454 Å, c = 9.0336 Å
α = 90.00°, β = 101.74°, γ = 90.00°
Sites, in units of the cell vectors:
Dy 0.0754 0.2500 0.3449
Dy 0.3381 0.2500 0.9861
Dy 0.3902 0.7500 0.6563
Dy 0.6098 0.2500 0.3437
Dy 0.6619 0.7500 0.0139
Dy 0.9246 0.7500 0.6551
Sb 0.3199 0.7500 0.2852
Sb 0.6801 0.2500 0.7148
S 0.1523 0.2500 0.6506
S 0.8477 0.7500 0.3494
N 0.4024 0.7500 0.8977
N 0.5976 0.2500 0.1023

Output
Total magnetization in μB/f.u.: 0.0
Symmetry: P2_1/m (11)
E_form (uncorrected) in eV/atom: -1.460

***

Entry 12:
Below is a relaxed structure of Dy8Se4S3N, with properties calculated at the PBE level.

a = 7.9646 Å, b = 7.9646 Å, c = 7.9646 Å
α = 58.89°, β = 58.89°, γ = 58.89°
Sites, in units of the cell vectors:
Dy 0.2420 0.2420 0.2420
Dy 0.2642 0.7239 0.7239
Dy 0.2761 0.2761 0.7358
Dy 0.2761 0.7358 0.2761
Dy 0.7239 0.2642 0.7239
Dy 0.7239 0.7239 0.2642
Dy 0.7358 0.2761 0.2761
Dy 0.7580 0.7580 0.7580
Se 0.0000 0.0000 0.0000
Se 0.0000 0.5000 0.5000
Se 0.5000 0.0000 0.5000
Se 0.5000 0.5000 0.0000
S 0.0000 0.0000 0.5000
S 0.0000 0.5000 0.0000
S 0.5000 0.0000 0.0000
N 0.5000 0.5000 0.5000

Output
Total magnetization in μB/f.u.: 0.0
Symmetry: R-3m (166)
E_form (uncorrected) in eV/atom: -1.829

***

Copy entry 2 word for word.
Below is a relaxed structure of Dy4S3N, with properties calculated at the PBE level.

a = 6.6379 Å, b = 6.6379 Å, c = 3.7520 Å
α = 90.00°, β = 90.00°, γ = 108.73°
Sites, in units of the cell vectors:
Dy 0.2167 0.2167 0.5000
Dy 0.2288 0.7712 0.0000
Dy 0.7712 0.2288 0.0000
Dy 0.7833 0.7833 0.5000
S 0.0000 0.5000 0.5000
S 0.5000 0.0000 0.5000
S 0.5000 0.5000 0.0000
N 0.0000 0.0000 0.0000

Output
Offset from the most stable computed form in meV/atom: 0
Total magnetization in μB/f.u.: 0.0
Symmetry: Cmmm (65)
E_form (uncorrected) in eV/atom: -1.894